(1)
{"formula": "LaHo14Er", "functional": "PBE", "state": "relaxed", "formation_enthalpy_0k_ev_per_fu": 0.138, "total_magnetization_mub_per_atom": 0.00, "sg": "Amm2 (38)", "lattice": [[11.439, 0.000, 0.000], [0.000, 3.555, 6.156], [0.000, -3.555, 6.156]], "species": ["La", "Ho", "Ho", "Ho", "Ho", "Ho", "Ho", "Ho", "Ho", "Ho", "Ho", "Ho", "Ho", "Ho", "Ho", "Er"], "fractional_positions": [[0.000, 0.000, 0.000], [0.000, 0.000, 0.500], [0.000, 0.500, 0.000], [0.250, 0.667, 0.667], [0.253, 0.167, 0.167], [0.253, 0.167, 0.666], [0.253, 0.666, 0.167], [0.500, 0.334, 0.334], [0.500, 0.334, 0.833], [0.500, 0.833, 0.334], [0.500, 0.833, 0.833], [0.747, 0.167, 0.167], [0.747, 0.167, 0.666], [0.747, 0.666, 0.167], [0.750, 0.667, 0.667], [0.000, 0.500, 0.500]]}

---

(2)
{"formula": "FePb2CCl", "functional": "PBE", "state": "relaxed", "e_form_raw_mev_per_atom": 1302, "total_magnetization_mub_per_atom": 0.56, "sg": "P4/mmm (123)", "lattice": [[5.063, 0.000, 0.000], [0.000, 5.063, 0.000], [0.000, 0.000, 4.356]], "species": ["Fe", "Pb", "Pb", "C", "Cl"], "fractional_positions": [[0.000, 0.000, 0.000], [0.000, 0.500, 0.500], [0.500, 0.000, 0.500], [0.500, 0.500, 0.500], [0.500, 0.500, 0.000]]}

---

(3)
{"formula": "SiH4", "functional": "PBE", "state": "relaxed", "energy_ev_per_atom": -3.7707, "total_magnetization_mub_per_atom": 0.00, "sg": "P2_1/c (14)", "lattice": [[7.117, 0.000, 0.000], [0.000, 4.592, 0.000], [-1.890, 0.000, 6.958]], "species": ["Si", "Si", "Si", "Si", "H", "H", "H", "H", "H", "H", "H", "H", "H", "H", "H", "H", "H", "H", "H", "H"], "fractional_positions": [[0.250, 0.063, 0.152], [0.250, 0.437, 0.652], [0.750, 0.563, 0.348], [0.750, 0.937, 0.848], [0.081, 0.591, 0.693], [0.081, 0.909, 0.193], [0.199, 0.126, 0.608], [0.199, 0.374, 0.108], [0.300, 0.576, 0.484], [0.300, 0.924, 0.984], [0.420, 0.042, 0.323], [0.420, 0.458, 0.823], [0.580, 0.542, 0.177], [0.580, 0.958, 0.677], [0.700, 0.076, 0.016], [0.700, 0.424, 0.516], [0.801, 0.626, 0.892], [0.801, 0.874, 0.392], [0.919, 0.091, 0.807], [0.919, 0.409, 0.307]]}

---

(4)
{"formula": "CaPt2AuSe", "functional": "PBE", "state": "relaxed", "e_form_raw_mev_per_atom": 443, "total_magnetization_mub_per_atom": 0.00, "sg": "P4/mmm (123)", "lattice": [[4.984, 0.000, 0.000], [0.000, 4.984, 0.000], [0.000, 0.000, 5.360]], "species": ["Ca", "Pt", "Pt", "Au", "Se"], "fractional_positions": [[0.000, 0.000, 0.000], [0.000, 0.500, 0.500], [0.500, 0.000, 0.500], [0.000, 0.000, 0.500], [0.500, 0.500, 0.000]]}

---

(5)
{"formula": "PtWAu2", "functional": "PBE", "state": "relaxed", "formation_enthalpy_0k_ev_per_fu": 2.124, "polymorph_energy_mev_per_atom": 530.7, "total_magnetization_mub_per_atom": 0.67, "sg": "P4/mmm (123)", "lattice": [[4.059, 0.000, 0.000], [0.000, 4.059, 0.000], [0.000, 0.000, 4.149]], "species": ["Pt", "W", "Au", "Au"], "fractional_positions": [[0.000, 0.000, 0.000], [0.500, 0.500, 0.000], [0.000, 0.500, 0.500], [0.500, 0.000, 0.500]]}

---

(6)
{"formula": "Na2Be3GeAu12", "functional": "PBE", "state": "relaxed", "formation_enthalpy_0k_ev_per_fu": -0.058, "total_magnetization_mub_per_atom": 0.00, "sg": "R-3m (166)", "lattice": [[4.073, 2.351, 6.505], [-4.073, 2.351, 6.505], [0.000, -4.703, 6.505]], "species": ["Na", "Na", "Be", "Be", "Be", "Ge", "Au", "Au", "Au", "Au", "Au", "Au", "Au", "Au", "Au", "Au", "Au", "Au"], "fractional_positions": [[0.111, 0.111, 0.111], [0.889, 0.889, 0.889], [0.000, 0.500, 0.500], [0.500, 0.000, 0.500], [0.500, 0.500, 0.000], [0.500, 0.500, 0.500], [0.117, 0.620, 0.620], [0.149, 0.149, 0.607], [0.149, 0.607, 0.149], [0.380, 0.380, 0.883], [0.380, 0.883, 0.380], [0.393, 0.851, 0.851], [0.607, 0.149, 0.149], [0.620, 0.117, 0.620], [0.620, 0.620, 0.117], [0.851, 0.393, 0.851], [0.851, 0.851, 0.393], [0.883, 0.380, 0.380]]}

---

(7)
{"formula": "Ba2Sn5Pd3", "functional": "PBE", "state": "relaxed", "formation_enthalpy_0k_ev_per_fu": -6.001, "polymorph_energy_mev_per_atom": 73.5, "total_magnetization_mub_per_atom": 0.00, "sg": "Cmc2_1 (36)", "lattice": [[2.376, -14.211, 0.000], [2.376, 14.211, 0.000], [0.000, 0.000, 7.609]], "species": ["Ba", "Ba", "Ba", "Ba", "Sn", "Sn", "Sn", "Sn", "Sn", "Sn", "Sn", "Sn", "Sn", "Sn", "Pd", "Pd", "Pd", "Pd", "Pd", "Pd"], "fractional_positions": [[0.023, 0.977, 0.500], [0.322, 0.678, 0.519], [0.678, 0.322, 0.019], [0.977, 0.023, 0.000], [0.100, 0.900, 0.875], [0.205, 0.795, 0.329], [0.210, 0.790, 0.728], [0.376, 0.624, 0.993], [0.443, 0.557, 0.660], [0.557, 0.443, 0.160], [0.624, 0.376, 0.493], [0.790, 0.210, 0.228], [0.795, 0.205, 0.829], [0.900, 0.100, 0.375], [0.111, 0.889, 0.241], [0.278, 0.722, 0.027], [0.439, 0.561, 0.288], [0.561, 0.439, 0.788], [0.722, 0.278, 0.527], [0.889, 0.111, 0.741]]}

---

(8)
{"formula": "BeVTc2", "functional": "PBE", "state": "relaxed", "formation_enthalpy_0k_ev_per_fu": -0.657, "total_magnetization_mub_per_atom": 0.00, "sg": "P4/mmm (123)", "lattice": [[3.040, 0.000, 0.000], [0.000, 3.040, 0.000], [0.000, 0.000, 5.505]], "species": ["Be", "V", "Tc", "Tc"], "fractional_positions": [[0.000, 0.000, 0.000], [0.000, 0.000, 0.500], [0.500, 0.500, 0.231], [0.500, 0.500, 0.769]]}

---

(9)
{"formula": "TaBe2Zn2", "functional": "PBE", "state": "relaxed", "formation_enthalpy_0k_ev_per_fu": 0.643, "polymorph_energy_mev_per_atom": 0.0, "total_magnetization_mub_per_atom": 0.00, "sg": "P4/mbm (127)", "lattice": [[6.849, 0.000, 0.000], [0.000, 6.849, 0.000], [0.000, 0.000, 2.696]], "species": ["Ta", "Ta", "Be", "Be", "Be", "Be", "Zn", "Zn", "Zn", "Zn"], "fractional_positions": [[0.000, 0.000, 0.000], [0.500, 0.500, 0.000], [0.127, 0.373, 0.000], [0.373, 0.873, 0.000], [0.627, 0.127, 0.000], [0.873, 0.627, 0.000], [0.169, 0.669, 0.500], [0.331, 0.169, 0.500], [0.669, 0.831, 0.500], [0.831, 0.331, 0.500]]}

---

(10)
{"formula": "Mg2InP2", "functional": "PBE", "state": "relaxed", "formation_enthalpy_0k_ev_per_fu": -1.320, "total_magnetization_mub_per_atom": 0.00, "sg": "I4/mmm (139)", "lattice": [[-2.331, 2.331, 4.738], [2.331, -2.331, 4.738], [2.331, 2.331, -4.738]], "species": ["Mg", "Mg", "In", "P", "P"], "fractional_positions": [[0.250, 0.750, 0.500], [0.750, 0.250, 0.500], [0.000, 0.000, 0.000], [0.381, 0.381, 0.000], [0.619, 0.619, 0.000]]}

---

(11)
{"formula": "RbI2Cl6", "functional": "PBE", "state": "relaxed", "e_form_raw_mev_per_atom": -364, "total_magnetization_mub_per_atom": 0.12, "sg": "P-3m1 (164)", "lattice": [[8.846, 0.000, 0.000], [-4.423, 7.661, 0.000], [0.000, 0.000, 7.344]], "species": ["Rb", "I", "I", "Cl", "Cl", "Cl", "Cl", "Cl", "Cl"], "fractional_positions": [[0.000, 0.000, 0.000], [0.333, 0.667, 0.283], [0.667, 0.333, 0.717], [0.167, 0.334, 0.292], [0.167, 0.833, 0.292], [0.334, 0.167, 0.708], [0.666, 0.833, 0.292], [0.833, 0.167, 0.708], [0.833, 0.666, 0.708]]}

---

(12)
{"formula": "HoEr2Pa2Ru5", "functional": "PBE", "state": "relaxed", "formation_enthalpy_0k_ev_per_fu": -3.274, "total_magnetization_mub_per_atom": 0.00, "sg": "P4/mbm (127)", "lattice": [[10.571, 0.000, 0.000], [0.000, 10.571, 0.000], [0.000, 0.000, 3.672]], "species": ["Ho", "Ho", "Er", "Er", "Er", "Er", "Pa", "Pa", "Pa", "Pa", "Ru", "Ru", "Ru", "Ru", "Ru", "Ru", "Ru", "Ru", "Ru", "Ru"], "fractional_positions": [[0.000, 0.000, 0.000], [0.500, 0.500, 0.000], [0.172, 0.328, 0.000], [0.328, 0.828, 0.000], [0.672, 0.172, 0.000], [0.828, 0.672, 0.000], [0.135, 0.635, 0.000], [0.365, 0.135, 0.000], [0.635, 0.865, 0.000], [0.865, 0.365, 0.000], [0.000, 0.500, 0.500], [0.055, 0.792, 0.500], [0.208, 0.055, 0.500], [0.292, 0.555, 0.500], [0.445, 0.292, 0.500], [0.500, 0.000, 0.500], [0.555, 0.708, 0.500], [0.708, 0.445, 0.500], [0.792, 0.945, 0.500], [0.945, 0.208, 0.500]]}

---

(13)
{"formula": "Mg4Sc3Pt4", "functional": "PBE", "state": "relaxed", "formation_enthalpy_0k_ev_per_fu": -9.502, "total_magnetization_mub_per_atom": 0.00, "sg": "Immm (71)", "lattice": [[-1.688, 4.000, 7.821], [1.688, -4.000, 7.821], [1.688, 4.000, -7.821]], "species": ["Mg", "Mg", "Mg", "Mg", "Sc", "Sc", "Sc", "Pt", "Pt", "Pt", "Pt"], "fractional_positions": [[0.020, 0.832, 0.188], [0.355, 0.168, 0.188], [0.645, 0.832, 0.812], [0.980, 0.168, 0.812], [0.000, 0.500, 0.500], [0.399, 0.399, 0.000], [0.601, 0.601, 0.000], [0.261, 0.761, 0.500], [0.290, 0.000, 0.290], [0.710, 0.000, 0.710], [0.739, 0.239, 0.500]]}

---

(14)
{"formula": "La2Nd3PuTe6", "functional": "PBE", "state": "relaxed", "e_form_raw_mev_per_atom": -1436, "total_magnetization_mub_per_atom": 0.50, "sg": "C2/m (12)", "lattice": [[9.841, -2.252, 0.000], [9.841, 2.252, 0.000], [-2.069, 0.000, 8.817]], "species": ["La", "La", "Nd", "Nd", "Nd", "Pu", "Te", "Te", "Te", "Te", "Te", "Te"], "fractional_positions": [[0.165, 0.165, 0.332], [0.835, 0.835, 0.668], [0.169, 0.169, 0.836], [0.500, 0.500, 0.500], [0.831, 0.831, 0.164], [0.500, 0.500, 0.000], [0.003, 0.003, 0.755], [0.334, 0.334, 0.413], [0.336, 0.336, 0.921], [0.664, 0.664, 0.079], [0.666, 0.666, 0.587], [0.997, 0.997, 0.245]]}

---

(15)
{"formula": "CsK2NaLi", "functional": "PBE", "state": "relaxed", "formation_enthalpy_0k_ev_per_fu": 0.963, "polymorph_energy_mev_per_atom": 87.4, "total_magnetization_mub_per_atom": 0.00, "sg": "P4/mmm (123)", "lattice": [[6.941, 0.000, 0.000], [0.000, 6.941, 0.000], [0.000, 0.000, 7.475]], "species": ["Cs", "K", "K", "Na", "Li"], "fractional_positions": [[0.000, 0.000, 0.000], [0.000, 0.500, 0.500], [0.500, 0.000, 0.500], [0.500, 0.500, 0.000], [0.000, 0.000, 0.500]]}

---

(16)
{"formula": "KInAgF6", "functional": "PBE", "state": "relaxed", "e_form_raw_mev_per_atom": -2138, "total_magnetization_mub_per_atom": 0.12, "sg": "C2 (5)", "lattice": [[3.043, -4.965, 0.000], [3.043, 4.965, 0.000], [-0.171, 0.000, 5.491]], "species": ["K", "In", "Ag", "F", "F", "F", "F", "F", "F"], "fractional_positions": [[0.000, 0.000, 0.000], [0.668, 0.332, 0.500], [0.329, 0.671, 0.500], [0.368, 0.369, 0.297], [0.370, 0.019, 0.690], [0.631, 0.632, 0.703], [0.648, 0.044, 0.266], [0.956, 0.352, 0.734], [0.981, 0.630, 0.310]]}

---

(17)
{"formula": "Nb2VMo3", "functional": "PBE", "state": "relaxed", "formation_enthalpy_0k_ev_per_fu": -0.687, "polymorph_energy_mev_per_atom": 0.0, "total_magnetization_mub_per_atom": 0.00, "sg": "P4/mmm (123)", "lattice": [[3.188, 0.000, 0.000], [0.000, 3.188, 0.000], [0.000, 0.000, 9.529]], "species": ["Nb", "Nb", "V", "Mo", "Mo", "Mo"], "fractional_positions": [[0.000, 0.000, 0.171], [0.000, 0.000, 0.829], [0.000, 0.000, 0.500], [0.500, 0.500, 0.000], [0.500, 0.500, 0.342], [0.500, 0.500, 0.658]]}

---

(18)
{"formula": "Pr2PuHfN4", "functional": "PBE", "state": "relaxed", "e_form_raw_mev_per_atom": -1425, "total_magnetization_mub_per_atom": 0.57, "sg": "P2/m (10)", "lattice": [[5.995, 0.000, 0.000], [0.000, 3.465, 0.000], [-1.978, 0.000, 5.799]], "species": ["Pr", "Pr", "Pu", "Hf", "N", "N", "N", "N"], "fractional_positions": [[0.000, 0.000, 0.000], [0.500, 0.500, 0.000], [0.000, 0.500, 0.500], [0.500, 0.000, 0.500], [0.249, 0.000, 0.710], [0.273, 0.500, 0.290], [0.727, 0.500, 0.710], [0.751, 0.000, 0.290]]}

---

(19)
{"formula": "Ac7OsPt4", "functional": "PBE", "state": "relaxed", "formation_enthalpy_0k_ev_per_fu": -9.596, "total_magnetization_mub_per_atom": 0.00, "sg": "Cm (8)", "lattice": [[7.200, -2.166, 0.000], [7.200, 2.166, 0.000], [-3.486, 0.000, 12.649]], "species": ["Ac", "Ac", "Ac", "Ac", "Ac", "Ac", "Ac", "Os", "Pt", "Pt", "Pt", "Pt"], "fractional_positions": [[0.000, 0.000, 0.000], [0.216, 0.216, 0.852], [0.294, 0.294, 0.415], [0.526, 0.526, 0.272], [0.601, 0.601, 0.584], [0.753, 0.753, 0.139], [0.910, 0.910, 0.685], [0.145, 0.145, 0.210], [0.256, 0.256, 0.635], [0.372, 0.372, 0.059], [0.560, 0.560, 0.813], [0.954, 0.954, 0.459]]}

---

(20)
{"formula": "Pm2YLu", "functional": "PBE", "state": "relaxed", "formation_enthalpy_0k_ev_per_fu": 0.402, "polymorph_energy_mev_per_atom": 82.5, "total_magnetization_mub_per_atom": 0.00, "sg": "Fm-3m (225)", "lattice": [[0.000, 4.035, 4.035], [4.035, 0.000, 4.035], [4.035, 4.035, 0.000]], "species": ["Pm", "Pm", "Y", "Lu"], "fractional_positions": [[0.250, 0.250, 0.250], [0.750, 0.750, 0.750], [0.000, 0.000, 0.000], [0.500, 0.500, 0.500]]}

---

(21)
{"formula": "CuSbP3", "functional": "PBE", "state": "relaxed", "polymorph_energy_mev_per_atom": 0.0, "e_form_raw_mev_per_atom": 751, "total_magnetization_mub_per_atom": 0.00, "sg": "Pm-3m (221)", "lattice": [[4.552, 0.000, 0.000], [0.000, 4.552, 0.000], [0.000, 0.000, 4.552]], "species": ["Cu", "Sb", "P", "P", "P"], "fractional_positions": [[0.000, 0.000, 0.000], [0.500, 0.500, 0.500], [0.000, 0.000, 0.500], [0.000, 0.500, 0.000], [0.500, 0.000, 0.000]]}

---

(22)
{"formula": "In3CoRu", "functional": "PBE", "state": "relaxed", "formation_enthalpy_0k_ev_per_fu": 3.669, "polymorph_energy_mev_per_atom": 0.0, "total_magnetization_mub_per_atom": 0.42, "sg": "Pm-3m (221)", "lattice": [[4.804, 0.000, 0.000], [0.000, 4.804, 0.000], [0.000, 0.000, 4.804]], "species": ["In", "In", "In", "Co", "Ru"], "fractional_positions": [[0.000, 0.000, 0.500], [0.000, 0.500, 0.000], [0.500, 0.000, 0.000], [0.000, 0.000, 0.000], [0.500, 0.500, 0.500]]}

---

(23)
{"formula": "RbTlHg2Te", "functional": "PBE", "state": "relaxed", "polymorph_energy_mev_per_atom": 96.6, "e_form_raw_mev_per_atom": -243, "total_magnetization_mub_per_atom": 0.00, "sg": "P4/mmm (123)", "lattice": [[5.917, 0.000, 0.000], [0.000, 5.917, 0.000], [0.000, 0.000, 6.223]], "species": ["Rb", "Tl", "Hg", "Hg", "Te"], "fractional_positions": [[0.000, 0.000, 0.000], [0.500, 0.500, 0.500], [0.000, 0.500, 0.500], [0.500, 0.000, 0.500], [0.500, 0.500, 0.000]]}